No. 1
This record from Alexandria describes an optimized crystal structure of TbCo4Pb. The functional is PBE.

Cell lengths 5.0622, 5.0622, 5.0622 Å; angles 60.00, 60.00, 60.00 degrees
Each line ends with the local moment (μB).
Sites, in units of the cell vectors:
Co 0.6252 0.1245 0.6252  1.41
Co 0.1245 0.6252 0.6252  1.41
Co 0.6252 0.6252 0.1245  1.41
Tb 0.0000 0.0000 0.0000  -0.26
Pb 0.2500 0.2500 0.2500  0.01
Co 0.6252 0.6252 0.6252  1.41

Summary:
final energy = -6.1145 eV per atom
E_form = 0.013 eV per atom

***

No. 2
This record from Alexandria describes an optimized crystal structure of Tb5CoPb2. The functional is PBE.

Cell lengths 5.9533, 5.8019, 15.5394 Å; angles 90.00, 90.00, 120.87 degrees
Sites, in units of the cell vectors:
Tb 0.0796 0.1592 0.1255
Tb 0.9204 0.8408 0.8745
Pb 0.7493 0.4986 0.4497
Tb 0.5806 0.1611 0.6265
Pb 0.7493 0.4986 0.0503
Tb 0.0796 0.1592 0.3745
Co 0.7514 0.5028 0.7500
Pb 0.2507 0.5014 0.5503
Tb 0.5806 0.1611 0.8735
Tb 0.2503 0.5005 0.7500
Pb 0.2507 0.5014 0.9497
Tb 0.9204 0.8408 0.6255
Co 0.2486 0.4972 0.2500
Tb 0.4194 0.8389 0.1265
Tb 0.7497 0.4995 0.2500
Tb 0.4194 0.8389 0.3735

Summary:
final energy = -4.8742 eV per atom
E_form = -0.165 eV per atom

***

No. 3
This record from Alexandria describes an optimized crystal structure of Tb3CoPb2. The functional is PBE.

Cell lengths 6.2402, 8.6710, 7.0015 Å; angles 107.21, 116.46, 90.00 degrees
Sites, in units of the cell vectors:
Tb 0.3127 0.2500 0.0000
Tb 0.9575 0.8664 0.6886
Tb 0.2688 0.6336 0.3114
Co 0.1297 0.7500 0.0000
Pb 0.7724 0.5050 0.2832
Pb 0.2276 0.4950 0.7168
Tb 0.0425 0.1336 0.3114
Tb 0.7312 0.3664 0.6886
Pb 0.4892 0.9950 0.7168
Pb 0.5108 0.0050 0.2832
Co 0.8703 0.2500 0.0000
Tb 0.6873 0.7500 0.0000

Summary:
final energy = -5.0112 eV per atom
E_form = -0.276 eV per atom

***

No. 4
This record from Alexandria describes an optimized crystal structure of Tb12Co6Pb. The functional is PBE.

Cell lengths 8.4233, 8.4233, 8.4233 Å; angles 109.47, 109.47, 109.47 degrees
Sites, in units of the cell vectors:
Tb 0.1946 0.3048 0.4995
Tb 0.6952 0.5005 0.8054
Co 0.1125 0.6125 0.5000
Pb 0.0000 0.0000 0.0000
Co 0.8875 0.3875 0.5000
Tb 0.8898 0.1946 0.6952
Co 0.6125 0.5000 0.1125
Co 0.5000 0.8875 0.3875
Co 0.5000 0.1125 0.6125
Tb 0.8054 0.3048 0.1102
Tb 0.3048 0.4995 0.1946
Tb 0.1946 0.6952 0.8898
Tb 0.4995 0.1946 0.3048
Tb 0.5005 0.8054 0.6952
Co 0.3875 0.5000 0.8875
Tb 0.6952 0.8898 0.1946
Tb 0.8054 0.6952 0.5005
Tb 0.3048 0.1102 0.8054
Tb 0.1102 0.8054 0.3048

Summary:
final energy = -5.6184 eV per atom
E_form = -0.255 eV per atom

***

No. 5
This record from Alexandria describes an optimized crystal structure of CoTc2Pb. The functional is PBE.

Cell lengths 4.1452, 2.9274, 5.8893 Å; angles 67.08, 90.00, 90.00 degrees
Each line ends with the local moment (μB).
Sites, in units of the cell vectors:
Tc 0.0000 0.4070 0.4556  0.44
Tc 0.0000 0.0930 0.0444  0.44
Co 0.5000 0.2500 0.2500  1.43
Pb 0.5000 0.7500 0.7500  -0.01

Summary:
final energy = -7.2243 eV per atom
E_form = 0.662 eV per atom

***

No. 6
This record from Alexandria describes an optimized crystal structure of Co2Tc2Pb. The functional is PBE.

Cell lengths 7.2532, 7.2532, 2.8376 Å; angles 90.00, 90.00, 90.00 degrees
Each line ends with the local moment (μB).
Sites, in units of the cell vectors:
Co 0.1181 0.3819 0.0000  0.47
Tc 0.8332 0.3332 0.5000  0.26
Co 0.6181 0.1181 0.0000  0.47
Pb 0.5000 0.5000 0.0000  0.00
Tc 0.6668 0.8332 0.5000  0.28
Tc 0.3332 0.1668 0.5000  0.28
Co 0.8819 0.6181 0.0000  0.47
Pb 0.0000 0.0000 0.0000  0.00
Co 0.3819 0.8819 0.0000  0.47
Tc 0.1668 0.6668 0.5000  0.26

Summary:
final energy = -7.1924 eV per atom
E_form = 0.538 eV per atom

***

No. 7
This record from Alexandria describes an optimized crystal structure of CoTcPb. The functional is PBE.

Cell lengths 4.1279, 4.1279, 3.5504 Å; angles 90.00, 90.00, 120.00 degrees
Each line ends with the local moment (μB).
Sites, in units of the cell vectors:
Tc 0.3333 0.6667 0.8332  0.12
Pb 0.6667 0.3333 0.3334  0.00
Co 0.0000 0.0000 0.8333  0.90

Summary:
final energy = -6.3815 eV per atom
E_form = 0.679 eV per atom
distance to the lowest polymorph of the same formula = 121 meV/atom

***

No. 8
This record from Alexandria describes an optimized crystal structure of CoTcPb. The functional is PBE.

Cell lengths 6.0194, 6.0196, 2.9719 Å; angles 75.70, 75.71, 28.58 degrees
Sites, in units of the cell vectors:
Co 0.0201 0.0201 0.9799
Pb 0.3378 0.3378 0.6622
Tc 0.6421 0.6421 0.3579

Summary:
final energy = -6.5021 eV per atom
E_form = 0.558 eV per atom
distance to the lowest polymorph of the same formula = 0 meV/atom

***

No. 9
This record from Alexandria describes an optimized crystal structure of CoTcPb2. The functional is PBE.

Cell lengths 3.1507, 3.1507, 8.5873 Å; angles 90.00, 90.00, 90.00 degrees
Each line ends with the local moment (μB).
Sites, in units of the cell vectors:
Pb 0.0000 0.0000 0.9229  -0.01
Pb 0.5000 0.5000 0.3176  -0.01
Tc 0.0000 0.0000 0.5623  0.45
Co 0.5000 0.5000 0.6972  1.23

Summary:
final energy = -5.8466 eV per atom
E_form = 0.376 eV per atom
distance to the lowest polymorph of the same formula = 0 meV/atom

***

No. 10
This record from Alexandria describes an optimized crystal structure of CoTcPb2. The functional is PBE.

Cell lengths 8.3907, 8.3907, 8.3907 Å; angles 22.48, 22.48, 22.48 degrees
Each line ends with the local moment (μB).
Sites, in units of the cell vectors:
Pb 0.4959 0.4959 0.4959  -0.01
Co 0.7500 0.7500 0.7500  0.22
Pb 0.0041 0.0041 0.0041  -0.01
Tc 0.2500 0.2500 0.2500  -0.02

Summary:
final energy = -5.4900 eV per atom
E_form = 0.732 eV per atom
distance to the lowest polymorph of the same formula = 357 meV/atom

***

No. 11
This record from Alexandria describes an optimized crystal structure of CoTcPb2. The functional is PBE.

Cell lengths 4.0903, 3.8405, 5.4256 Å; angles 69.32, 90.00, 90.00 degrees
Each line ends with the local moment (μB).
Sites, in units of the cell vectors:
Tc 0.0000 0.6852 0.5046  0.14
Pb 0.5000 0.2764 0.3218  -0.01
Co 0.5000 0.5647 0.7458  0.84
Pb 0.0000 0.9737 0.9278  -0.02

Summary:
final energy = -5.7557 eV per atom
E_form = 0.466 eV per atom
distance to the lowest polymorph of the same formula = 91 meV/atom

***

No. 12
This record from Alexandria describes an optimized crystal structure of CoTcPb2. The functional is PBE.

Cell lengths 3.3587, 3.3606, 7.2339 Å; angles 64.31, 90.00, 90.00 degrees
Each line ends with the local moment (μB).
Sites, in units of the cell vectors:
Pb 0.0000 0.5060 0.5034  -0.01
Co 0.5000 0.7500 0.7500  0.75
Pb 0.0000 0.9940 0.9966  -0.01
Tc 0.5000 0.2500 0.2500  -0.24

Summary:
final energy = -5.5477 eV per atom
E_form = 0.674 eV per atom
distance to the lowest polymorph of the same formula = 299 meV/atom